(1)
The following is a DFT calculation (PBE) of LiPrHo after structural relaxation.

Structure (POSCAR):
```
LiPrHo
1.0
2.703 -1.907 3.884
-0.638 1.859 4.708
-2.305 -2.826 3.567
Ho Li Pr
1 1 1
direct
0.250 0.250 0.250 Ho
0.000 0.000 0.000 Li
0.750 0.750 0.750 Pr
```

Results
As for the calculated total energy: -9.8 eV/cell. The symmetry is F-43m. The calculation puts the excess energy over the best structure of this formula in the dataset at 0 meV/atom.

(2)
The following is a DFT calculation (PBE) of Li3PrHo2Sn3 after structural relaxation.

Structure (POSCAR):
```
Li3PrHo2Sn3
1.0
4.718 0.000 0.000
-2.359 4.086 0.000
0.000 0.000 11.074
Ho Li Pr Sn
2 3 1 3
direct
0.000 0.000 0.340 Ho
0.000 0.000 0.660 Ho
0.667 0.333 0.201 Li
0.333 0.667 0.500 Li
0.667 0.333 0.799 Li
0.000 0.000 0.000 Pr
0.333 0.667 0.183 Sn
0.667 0.333 0.500 Sn
0.333 0.667 0.817 Sn
```

Results
As for the calculated total energy: -37.3 eV/cell. The symmetry is P-6m2.

> Look up the calculated total energy of the first one.

-9.8 eV/cell

> Which of these has the lowest calculated total energy?

Li3PrHo2Sn3